VNi2F, relaxed, DFT GGA+U; relative energy among the computed polymorphs = 2.80 eV per formula unit; Fermi-level density of states = 1.621 states/eV per cell; calculated total energy = -2.70 eV per atom; crystal system = cubic
1.0
-4.054 0.525 0.942
-2.906 -0.274 -3.013
-2.618 -3.277 -0.098
Ni V F
2 1 1
Direct
0.250 0.250 0.250
0.750 0.750 0.750
0.500 0.500 0.500
0.000 0.000 0.000